The following is a PBE calculation of La2Tb9Th after structural relaxation, from Alexandria.

Unit cell a=5.0824 b=5.0824 c=15.2437 alpha=90.00 beta=90.00 gamma=90.00
Atoms (fractional coordinates):
Tb 0.0000 0.5000 0.1616
Tb 0.5000 0.0000 0.1616
Tb 0.0000 0.5000 0.5000
Tb 0.5000 0.0000 0.5000
Tb 0.5000 0.5000 0.6679
Tb 0.5000 0.5000 0.0000
Tb 0.5000 0.5000 0.3321
Tb 0.0000 0.5000 0.8384
Tb 0.5000 0.0000 0.8384
Th 0.0000 0.0000 0.0000
La 0.0000 0.0000 0.6677
La 0.0000 0.0000 0.3323

=====

The following is a PBE calculation of CaInCl after structural relaxation, from Alexandria.

Unit cell a=3.7445 b=3.7445 c=8.3153 alpha=90.00 beta=90.00 gamma=120.00
Atoms (fractional coordinates):
Ca 0.0000 0.0000 0.0392
Cl 0.6667 0.3333 0.2335
In 0.3333 0.6667 0.7273

Calculated values
As for the distance to the lowest polymorph of the same formula: 0 meV/atom. Its uncorrected formation energy is -1.001 eV per atom.

=====

The following is a PBE calculation of Sn3Hg12Bi5 after structural relaxation, from Alexandria.

Unit cell a=15.0792 b=15.0792 c=15.0792 alpha=109.47 beta=109.47 gamma=109.47
Atoms (fractional coordinates):
Hg 0.6073 0.7377 0.6731
Hg 0.2377 0.6731 0.1073
Hg 0.8269 0.8927 0.2623
Hg 0.0657 0.8927 0.1304
Hg 0.1073 0.1731 0.2377
Hg 0.2623 0.3927 0.8269
Hg 0.3927 0.2623 0.3269
Hg 0.4354 0.6731 0.0657
Hg 0.0657 0.1731 0.4354
Hg 0.1073 0.9343 0.3696
Hg 0.8696 0.6073 0.9343
Hg 0.5646 0.3269 0.9343
Hg 0.5646 0.2377 0.1304
Hg 0.9343 0.8269 0.5646
Hg 0.0646 0.4343 0.8269
Hg 0.6304 0.5657 0.8927
Hg 0.2377 0.5646 0.6304
Hg 0.6731 0.4354 0.5657
Hg 0.7377 0.6073 0.1731
Hg 0.1304 0.7377 0.5646
Hg 0.3269 0.5646 0.4343
Hg 0.3696 0.9354 0.7623
Hg 0.7623 0.3269 0.8927
Hg 0.9354 0.3696 0.2623
Hg 0.7377 0.1304 0.0646
Hg 0.6304 0.0646 0.2377
Hg 0.3269 0.7623 0.3927
Hg 0.1731 0.0657 0.9354
Hg 0.8269 0.9343 0.0646
Hg 0.8927 0.8269 0.7623
Hg 0.3696 0.4343 0.1073
Hg 0.3927 0.1304 0.5657
Hg 0.6073 0.8696 0.4343
Hg 0.8696 0.2623 0.4354
Hg 0.9354 0.5657 0.1731
Hg 0.4343 0.3696 0.6073
Hg 0.4354 0.7623 0.8696
Hg 0.6731 0.2377 0.6073
Hg 0.9343 0.1073 0.8696
Hg 0.2623 0.8696 0.9354
Hg 0.8927 0.0657 0.6304
Hg 0.1304 0.3927 0.0657
Hg 0.5657 0.9354 0.6731
Hg 0.7623 0.4354 0.3696
Hg 0.1731 0.1073 0.7377
Hg 0.4343 0.0646 0.3269
Hg 0.0646 0.6304 0.7377
Hg 0.5657 0.6304 0.3927
Bi 0.5000 0.0000 0.5000
Bi 0.8750 0.6250 0.7500
Bi 0.0000 0.0000 0.0000
Bi 0.0000 0.0000 0.5000
Bi 0.7500 0.6250 0.3750
Bi 0.2500 0.3750 0.6250
Bi 0.8750 0.2500 0.6250
Bi 0.3750 0.1250 0.7500
Bi 0.0000 0.5000 0.0000
Bi 0.2500 0.8750 0.1250
Bi 0.1250 0.7500 0.3750
Bi 0.6250 0.8750 0.2500
Bi 0.1250 0.3750 0.2500
Bi 0.3750 0.2500 0.1250
Bi 0.6250 0.7500 0.8750
Bi 0.7500 0.1250 0.8750
Bi 0.5000 0.0000 0.0000
Bi 0.5000 0.5000 0.5000
Bi 0.5000 0.5000 0.0000
Bi 0.0000 0.5000 0.5000
Sn 0.3750 0.6250 0.2500
Sn 0.3750 0.7500 0.6250
Sn 0.1250 0.8750 0.7500
Sn 0.6250 0.3750 0.7500
Sn 0.8750 0.7500 0.1250
Sn 0.1250 0.2500 0.8750
Sn 0.7500 0.8750 0.6250
Sn 0.2500 0.6250 0.8750
Sn 0.2500 0.1250 0.3750
Sn 0.6250 0.2500 0.3750
Sn 0.7500 0.3750 0.1250
Sn 0.8750 0.1250 0.2500

=====

The following is a PBE calculation of LiAcBi2 after structural relaxation, from Alexandria.

Unit cell a=3.6836 b=3.6836 c=10.6925 alpha=80.08 beta=80.08 gamma=60.00
Atoms (fractional coordinates):
Bi 0.7390 0.7390 0.7831
Bi 0.2610 0.2610 0.2169
Ac 0.5000 0.5000 0.5000
Li 0.0000 0.0000 0.0000

Calculated values
As for the distance to the lowest polymorph of the same formula: 383 meV/atom.

=====

Asked for energy across the records above, the calculation gives -4.8852, -3.1965, -1.5902, -3.7934 eV/atom in order.